Ca2Ga3CuAu12: optimized geometry, PBE.

abc: 8.4646 8.4646 20.1483
angles: 90.00 90.00 120.00
Space group R-3m (No. 166, hexagonal axes)
One atom of each set of equivalent atoms:
Ca (0.0000, 0.0000, 0.1270)
Ga (0.0000, 0.5000, 0.0000)
Cu (0.0000, 0.0000, 0.5000)
Au (0.0063, 0.5032, 0.1265)
Au (0.0064, 0.5032, 0.3753)

Properties
Formation enthalpy at 0 K in meV per atom: -93
DOS at the Fermi energy in states/eV per cell: 17.7

Pm5TlIr4: optimized geometry, PBE.

abc: 3.5992 3.5992 18.0406
angles: 90.00 90.00 90.00
Space group P4/mmm (No. 123)
One atom of each set of equivalent atoms:
Pm (0.0000, 0.0000, 0.0000)
Pm (0.0000, 0.0000, 0.1880)
Pm (0.0000, 0.0000, 0.3750)
Tl (0.5000, 0.5000, 0.5000)
Ir (0.5000, 0.5000, 0.0954)
Ir (0.5000, 0.5000, 0.2862)

Properties
Formation enthalpy at 0 K in meV per atom: -561
DOS at the Fermi energy in states/eV per cell: 7.5

Ca2Lu: optimized geometry, PBE.

abc: 3.7095 3.7095 16.1596
angles: 90.00 90.00 90.00
Space group I4/mmm (No. 139)
One atom of each set of equivalent atoms:
Ca (0.0000, 0.0000, 0.1585)
Lu (0.0000, 0.0000, 0.5000)

Properties
Formation enthalpy at 0 K in meV per atom: 142
Energy above the most stable polymorph in this dataset in meV per atom: 0
DOS at the Fermi energy in states/eV per cell: 10.7

SnSeIO2: optimized geometry, PBE.

abc: 4.0180 4.0180 7.1163
angles: 90.00 90.00 90.00
Space group P4/mmm (No. 123)
One atom of each set of equivalent atoms:
Sn (0.0000, 0.0000, 0.0000)
Se (0.5000, 0.5000, 0.5000)
I (0.0000, 0.0000, 0.5000)
O (0.0000, 0.5000, 0.0000)

Properties
Formation energy (no corrections) in eV per atom: -0.307
Energy above the most stable polymorph in this dataset in meV per atom: 0
DOS at the Fermi energy in states/eV per cell: 3.7